Arrangement a

The following is a DFT calculation (GGA-PBE) of crystalline Al2TlCu at its relaxed geometry. Values from VASP.

Quantum ESPRESSO input file:
```
&SYSTEM
  ibrav = 0, nat = 4, ntyp = 3
/
ATOMIC_SPECIES
Al 26.98 Al.upf
Tl 204.38 Tl.upf
Cu 63.55 Cu.upf
ATOMIC_POSITIONS crystal
Al 0.0000 0.0000 0.0000
Al 0.4165 0.5000 0.7788
Tl 0.0348 0.0000 0.4473
Cu 0.5598 0.5000 0.1506
CELL_PARAMETERS angstrom
2.9201 0.0000 0.0000
0.0000 3.6642 0.0000
-1.0774 0.0000 7.2183
```

## Properties
Density of states at the Fermi level (states/eV/cell): 1.34
ρ (g/cm3): 6.92

---

Arrangement b

The following is a DFT calculation (GGA-PBE) of crystalline Al2TlCu at its relaxed geometry. Values from VASP.

Quantum ESPRESSO input file:
```
&SYSTEM
  ibrav = 0, nat = 4, ntyp = 3
/
ATOMIC_SPECIES
Al 26.98 Al.upf
Tl 204.38 Tl.upf
Cu 63.55 Cu.upf
ATOMIC_POSITIONS crystal
Al 0.2500 0.2500 0.2500
Al 0.7500 0.7500 0.7500
Tl 0.0000 0.0000 0.0000
Cu 0.5000 0.5000 0.5000
CELL_PARAMETERS angstrom
0.0000 3.3661 3.3661
3.3661 0.0000 3.3661
3.3661 3.3661 0.0000
```

## Properties
Density of states at the Fermi level (states/eV/cell): 2.08
ρ (g/cm3): 7.01

---

Of them, arrangement a has the highest stability.

---

Arrangement a

The following is a DFT calculation (GGA-PBE) of crystalline AlTlCu3 at its relaxed geometry. Values from VASP.

Quantum ESPRESSO input file:
```
&SYSTEM
  ibrav = 0, nat = 5, ntyp = 3
/
ATOMIC_SPECIES
Al 26.98 Al.upf
Tl 204.38 Tl.upf
Cu 63.55 Cu.upf
ATOMIC_POSITIONS crystal
Al 0.0000 0.0000 0.0000
Tl 0.5000 0.5000 0.5000
Cu 0.0000 0.0000 0.5000
Cu 0.0000 0.5000 0.0000
Cu 0.5000 0.0000 0.0000
CELL_PARAMETERS angstrom
4.6501 0.0000 0.0000
0.0000 4.6501 0.0000
0.0000 0.0000 4.6501
```

## Properties
Density of states at the Fermi level (states/eV/cell): 2.68
ρ (g/cm3): 6.97

---

Arrangement b

The following is a DFT calculation (GGA-PBE) of crystalline AlTlCu3 at its relaxed geometry. Values from VASP.

Quantum ESPRESSO input file:
```
&SYSTEM
  ibrav = 0, nat = 5, ntyp = 3
/
ATOMIC_SPECIES
Al 26.98 Al.upf
Tl 204.38 Tl.upf
Cu 63.55 Cu.upf
ATOMIC_POSITIONS crystal
Al 0.0000 0.0000 0.0000
Tl 0.5000 0.5000 0.5000
Cu 0.0000 0.5000 0.5000
Cu 0.5000 0.0000 0.5000
Cu 0.5000 0.5000 0.0000
CELL_PARAMETERS angstrom
4.9059 0.0000 0.0000
0.0000 4.9059 0.0000
0.0000 0.0000 4.9059
```

## Properties
Density of states at the Fermi level (states/eV/cell): 2.52
ρ (g/cm3): 5.93

---

Of them, arrangement a has the highest stability.

---

Arrangement a

The following is a DFT calculation (GGA-PBE) of crystalline Tm4Al3Cu at its relaxed geometry. Values from VASP.

Quantum ESPRESSO input file:
```
&SYSTEM
  ibrav = 0, nat = 8, ntyp = 3
/
ATOMIC_SPECIES
Tm 168.93 Tm.upf
Al 26.98 Al.upf
Cu 63.55 Cu.upf
ATOMIC_POSITIONS crystal
Tm 0.0000 0.0000 0.0000
Tm 0.0000 0.5000 0.2915
Tm 0.5000 0.0000 0.4787
Tm 0.5000 0.5000 0.8022
Al 0.0000 0.0000 0.7100
Al 0.0000 0.5000 0.5733
Al 0.5000 0.5000 0.0767
Cu 0.5000 0.0000 0.2110
CELL_PARAMETERS angstrom
3.6364 0.0000 0.0000
0.0000 4.4394 0.0000
0.0000 0.0000 11.2943
```

## Properties
Density of states at the Fermi level (states/eV/cell): 7.28
ρ (g/cm3): 7.47

---

Arrangement b

The following is a DFT calculation (GGA-PBE) of crystalline Tm4Al3Cu at its relaxed geometry. Values from VASP.

Quantum ESPRESSO input file:
```
&SYSTEM
  ibrav = 0, nat = 8, ntyp = 3
/
ATOMIC_SPECIES
Tm 168.93 Tm.upf
Al 26.98 Al.upf
Cu 63.55 Cu.upf
ATOMIC_POSITIONS crystal
Tm 0.0000 0.0000 0.1127
Tm 0.0000 0.0000 0.3707
Tm 0.0000 0.0000 0.6293
Tm 0.0000 0.0000 0.8873
Al 0.5000 0.5000 0.2411
Al 0.5000 0.5000 0.5000
Al 0.5000 0.5000 0.7589
Cu 0.5000 0.5000 0.0000
CELL_PARAMETERS angstrom
3.3814 0.0000 0.0000
0.0000 3.3814 0.0000
0.0000 0.0000 15.3095
```

## Properties
Density of states at the Fermi level (states/eV/cell): 3.60
ρ (g/cm3): 7.78

---

Of them, arrangement b has the highest stability.

---

Arrangement a

The following is a DFT calculation (GGA-PBE) of crystalline Tm4AlCu2 at its relaxed geometry. Values from VASP.

Quantum ESPRESSO input file:
```
&SYSTEM
  ibrav = 0, nat = 7, ntyp = 3
/
ATOMIC_SPECIES
Tm 168.93 Tm.upf
Al 26.98 Al.upf
Cu 63.55 Cu.upf
ATOMIC_POSITIONS crystal
Tm 0.1170 0.1170 0.1170
Tm 0.3703 0.3703 0.3703
Tm 0.6297 0.6297 0.6297
Tm 0.8830 0.8830 0.8830
Al 0.5000 0.5000 0.5000
Cu 0.2437 0.2437 0.2437
Cu 0.7563 0.7563 0.7563
CELL_PARAMETERS angstrom
2.4353 1.4060 7.7885
-2.4353 1.4060 7.7885
0.0000 -2.8120 7.7885
```

## Properties
Density of states at the Fermi level (states/eV/cell): 5.77
ρ (g/cm3): 8.61

---

Arrangement b

The following is a DFT calculation (GGA-PBE) of crystalline Tm4AlCu2 at its relaxed geometry. Values from VASP.

Quantum ESPRESSO input file:
```
&SYSTEM
  ibrav = 0, nat = 7, ntyp = 3
/
ATOMIC_SPECIES
Tm 168.93 Tm.upf
Al 26.98 Al.upf
Cu 63.55 Cu.upf
ATOMIC_POSITIONS crystal
Tm 0.1208 0.1208 0.1208
Tm 0.2922 0.2922 0.2922
Tm 0.7078 0.7078 0.7078
Tm 0.8792 0.8792 0.8792
Al 0.5000 0.5000 0.5000
Cu 0.4043 0.4043 0.4043
Cu 0.5957 0.5957 0.5957
CELL_PARAMETERS angstrom
2.4178 1.3959 8.3716
-2.4178 1.3959 8.3716
0.0000 -2.7919 8.3716
```

## Properties
Density of states at the Fermi level (states/eV/cell): 6.32
ρ (g/cm3): 8.13

---

Of them, arrangement a has the highest stability.

---

Arrangement a

The following is a DFT calculation (GGA-PBE) of crystalline TmAl3Cu at its relaxed geometry. Values from VASP.

Quantum ESPRESSO input file:
```
&SYSTEM
  ibrav = 0, nat = 5, ntyp = 3
/
ATOMIC_SPECIES
Tm 168.93 Tm.upf
Al 26.98 Al.upf
Cu 63.55 Cu.upf
ATOMIC_POSITIONS crystal
Tm 0.0000 0.0000 0.0000
Al 0.2557 0.7560 0.4873
Al 0.5981 0.5980 0.8035
Al 0.7556 0.2557 0.4874
Cu 0.3819 0.3828 0.2338
CELL_PARAMETERS angstrom
4.0727 0.0000 0.0000
0.0024 4.0738 0.0000
2.0326 2.0333 5.4290
```

## Properties
Density of states at the Fermi level (states/eV/cell): 1.70
ρ (g/cm3): 5.78

---

Arrangement b

The following is a DFT calculation (GGA-PBE) of crystalline TmAl3Cu at its relaxed geometry. Values from VASP.

Quantum ESPRESSO input file:
```
&SYSTEM
  ibrav = 0, nat = 20, ntyp = 3
/
ATOMIC_SPECIES
Tm 168.93 Tm.upf
Al 26.98 Al.upf
Cu 63.55 Cu.upf
ATOMIC_POSITIONS crystal
Tm 0.1777 0.2500 0.0021
Tm 0.3223 0.7500 0.5021
Tm 0.6777 0.2500 0.4979
Tm 0.8223 0.7500 0.9979
Al 0.0612 0.2500 0.5894
Al 0.1084 0.7500 0.7880
Al 0.1440 0.7500 0.2153
Al 0.3560 0.2500 0.7153
Al 0.3916 0.2500 0.2880
Al 0.4388 0.7500 0.0894
Al 0.5612 0.2500 0.9106
Al 0.6084 0.7500 0.7120
Al 0.6440 0.7500 0.2847
Al 0.8560 0.2500 0.7847
Al 0.8916 0.2500 0.2120
Al 0.9388 0.7500 0.4106
Cu 0.1125 0.2500 0.3621
Cu 0.3875 0.7500 0.8621
Cu 0.6125 0.2500 0.1379
Cu 0.8875 0.7500 0.6379
CELL_PARAMETERS angstrom
8.2195 0.0000 0.0000
0.0000 4.0397 0.0000
0.0000 0.0000 10.6772
```

## Properties
Density of states at the Fermi level (states/eV/cell): 5.69
ρ (g/cm3): 5.87

---

Of them, arrangement a has the highest stability.

---

Arrangement a

The following is a DFT calculation (GGA-PBE) of crystalline TmAl4Cu2 at its relaxed geometry. Values from VASP.

Quantum ESPRESSO input file:
```
&SYSTEM
  ibrav = 0, nat = 14, ntyp = 3
/
ATOMIC_SPECIES
Tm 168.93 Tm.upf
Al 26.98 Al.upf
Cu 63.55 Cu.upf
ATOMIC_POSITIONS crystal
Tm 0.0000 0.0000 0.0000
Tm 0.5000 0.5000 0.5000
Al 0.0871 0.3319 0.5000
Al 0.1681 0.5871 0.0000
Al 0.3319 0.0871 0.5000
Al 0.4129 0.8319 0.0000
Al 0.5871 0.1681 0.0000
Al 0.6681 0.9129 0.5000
Al 0.8319 0.4129 0.0000
Al 0.9129 0.6681 0.5000
Cu 0.2074 0.7926 0.5000
Cu 0.2926 0.2926 0.0000
Cu 0.7074 0.7074 0.0000
Cu 0.7926 0.2074 0.5000
CELL_PARAMETERS angstrom
7.7358 0.0000 0.0000
0.0000 7.7358 0.0000
0.0000 0.0000 3.9063
```

## Properties
Density of states at the Fermi level (states/eV/cell): 7.34
ρ (g/cm3): 5.74

---

Arrangement b

The following is a DFT calculation (GGA-PBE) of crystalline TmAl4Cu2 at its relaxed geometry. Values from VASP.

Quantum ESPRESSO input file:
```
&SYSTEM
  ibrav = 0, nat = 28, ntyp = 3
/
ATOMIC_SPECIES
Tm 168.93 Tm.upf
Al 26.98 Al.upf
Cu 63.55 Cu.upf
ATOMIC_POSITIONS crystal
Tm 0.1400 0.2500 0.0152
Tm 0.3600 0.7500 0.5152
Tm 0.6400 0.2500 0.4848
Tm 0.8600 0.7500 0.9848
Al 0.0319 0.7500 0.8467
Al 0.0706 0.2500 0.4917
Al 0.1865 0.7500 0.3254
Al 0.1923 0.7500 0.7247
Al 0.3077 0.2500 0.2247
Al 0.3135 0.2500 0.8254
Al 0.4294 0.7500 0.9917
Al 0.4681 0.2500 0.3467
Al 0.5319 0.7500 0.6533
Al 0.5706 0.2500 0.0083
Al 0.6865 0.7500 0.1746
Al 0.6923 0.7500 0.7753
Al 0.8077 0.2500 0.2753
Al 0.8135 0.2500 0.6746
Al 0.9294 0.7500 0.5083
Al 0.9681 0.2500 0.1533
Cu 0.0395 0.7500 0.2464
Cu 0.2194 0.2500 0.5288
Cu 0.2806 0.7500 0.0288
Cu 0.4605 0.2500 0.7464
Cu 0.5395 0.7500 0.2536
Cu 0.7194 0.2500 0.9712
Cu 0.7806 0.7500 0.4712
Cu 0.9605 0.2500 0.7536
CELL_PARAMETERS angstrom
16.7838 0.0000 0.0000
0.0000 4.1513 0.0000
0.0000 0.0000 6.6040
```

## Properties
Density of states at the Fermi level (states/eV/cell): 8.52
ρ (g/cm3): 5.83

---

Of them, arrangement b has the highest stability.